Material: MoPdN2O
Method: DFT, PBE with a Hubbard U
State: relaxed

Cell and atoms, written as CIF:
```
data_MoPdN2O
_symmetry_space_group_name_H-M 'P 1'
_symmetry_Int_Tables_number 1
_cell_length_a 3.938
_cell_length_b 3.938
_cell_length_c 4.048
_cell_angle_alpha 90.00
_cell_angle_beta 90.00
_cell_angle_gamma 90.00
loop_
_symmetry_equiv_pos_as_xyz
'x,y,z'
loop_
_atom_site_label
_atom_site_type_symbol
_atom_site_fract_x
_atom_site_fract_y
_atom_site_fract_z
_atom_site_occupancy
Mo1 Mo 0.500 0.500 0.500 1
O1 O 0.000 0.000 0.500 1
N1 N 0.000 0.500 0.000 1
N2 N 0.500 0.000 0.000 1
Pd1 Pd 0.000 0.000 0.000 1
```

The value obtained for the total energy is -27.69 eV per formula unit.